No. 1
{"formula": "Zr2TeIr", "functional": "SCAN", "state": "PBEsol geometry", "lattice_angstrom": [[4.805, 0.000, 0.000], [0.000, 4.805, 0.000], [0.000, 0.000, 3.373]], "species": ["Zr", "Zr", "Te", "Ir"], "frac_coords": [[0.000, 0.500, 0.000], [0.500, 0.000, 0.000], [0.000, 0.000, 0.500], [0.500, 0.500, 0.500]], "e_form_raw_ev_per_fu": -2.178, "dos_ef_per_ev_atom": 1.1276, "vol_a3_per_atom": 19.5, "spacegroup": "P4/mmm (123)", "total_magnetization_mub_per_fu": 0.000}

***

No. 2
{"formula": "MnMo2Cl", "functional": "SCAN", "state": "PBEsol geometry", "lattice_angstrom": [[2.671, -4.007, 0.000], [2.671, 4.007, 0.000], [-1.002, 0.000, 2.627]], "species": ["Mn", "Mo", "Mo", "Cl"], "frac_coords": [[0.000, 0.000, 0.000], [0.000, 0.500, 0.500], [0.500, 0.000, 0.500], [0.500, 0.500, 0.000]], "relative_energy_mev_per_atom": 0, "e_form_raw_ev_per_fu": 2.750, "dos_ef_per_ev_atom": 0.8077, "vol_a3_per_atom": 14.1, "spacegroup": "C2/m (12)", "total_magnetization_mub_per_fu": 1.976}

***

No. 3
{"formula": "Tb11In6Si4", "functional": "SCAN", "state": "PBEsol geometry", "lattice_angstrom": [[-5.687, 5.687, 7.980], [5.687, -5.687, 7.980], [5.687, 5.687, -7.980]], "species": ["Tb", "Tb", "Tb", "Tb", "Tb", "Tb", "Tb", "Tb", "Tb", "Tb", "Tb", "Tb", "Tb", "Tb", "Tb", "Tb", "Tb", "Tb", "Tb", "Tb", "Tb", "Tb", "In", "In", "In", "In", "In", "In", "In", "In", "In", "In", "In", "In", "Si", "Si", "Si", "Si", "Si", "Si", "Si", "Si"], "frac_coords": [[0.065, 0.315, 0.750], [0.100, 0.447, 0.347], [0.100, 0.753, 0.653], [0.168, 0.168, 0.000], [0.247, 0.900, 0.347], [0.315, 0.065, 0.750], [0.315, 0.565, 0.250], [0.333, 0.333, 0.666], [0.333, 0.667, 0.000], [0.435, 0.685, 0.750], [0.447, 0.100, 0.347], [0.553, 0.900, 0.653], [0.565, 0.315, 0.250], [0.667, 0.333, 0.000], [0.667, 0.667, 0.334], [0.685, 0.435, 0.750], [0.685, 0.935, 0.250], [0.753, 0.100, 0.653], [0.832, 0.832, 0.000], [0.900, 0.247, 0.347], [0.900, 0.553, 0.653], [0.935, 0.685, 0.250], [0.036, 0.036, 0.413], [0.036, 0.623, 0.000], [0.128, 0.128, 0.257], [0.128, 0.872, 0.000], [0.377, 0.377, 0.413], [0.377, 0.964, 0.000], [0.623, 0.036, 0.000], [0.623, 0.623, 0.587], [0.872, 0.128, 0.000], [0.872, 0.872, 0.743], [0.964, 0.377, 0.000], [0.964, 0.964, 0.587], [0.153, 0.500, 0.653], [0.250, 0.750, 0.500], [0.382, 0.382, 0.000], [0.500, 0.153, 0.653], [0.500, 0.847, 0.347], [0.618, 0.618, 0.000], [0.750, 0.250, 0.500], [0.847, 0.500, 0.347]], "e_form_raw_ev_per_fu": -15.000, "dos_ef_per_ev_atom": 0.5358, "vol_a3_per_atom": 24.6, "spacegroup": "I4/mmm (139)", "total_magnetization_mub_per_fu": 0.000}

***

No. 4
{"formula": "ScSb2RhC", "functional": "SCAN", "state": "PBEsol geometry", "lattice_angstrom": [[4.910, 0.000, 0.000], [0.000, 4.910, 0.000], [0.000, 0.000, 4.882]], "species": ["Sc", "Sb", "Sb", "Rh", "C"], "frac_coords": [[0.000, 0.000, 0.000], [0.000, 0.500, 0.500], [0.500, 0.000, 0.500], [0.000, 0.000, 0.500], [0.500, 0.500, 0.000]], "e_form_raw_ev_per_fu": 5.724, "dos_ef_per_ev_atom": 0.6932, "vol_a3_per_atom": 23.5, "spacegroup": "P4/mmm (123)", "total_magnetization_mub_per_fu": 0.002}

***

No. 5
{"formula": "InGaSe3", "functional": "SCAN", "state": "PBEsol geometry", "lattice_angstrom": [[4.956, 0.000, 0.000], [0.000, 4.956, 0.000], [0.000, 0.000, 4.956]], "species": ["In", "Ga", "Se", "Se", "Se"], "frac_coords": [[0.000, 0.000, 0.000], [0.500, 0.500, 0.500], [0.000, 0.500, 0.500], [0.500, 0.000, 0.500], [0.500, 0.500, 0.000]], "e_form_raw_ev_per_fu": 0.375, "dos_ef_per_ev_atom": 0.8733, "vol_a3_per_atom": 24.3, "spacegroup": "Pm-3m (221)", "total_magnetization_mub_per_fu": 0.000}

***

No. 6
{"formula": "AlTl2Os", "functional": "SCAN", "state": "PBEsol geometry", "lattice_angstrom": [[3.673, 0.000, 0.000], [0.000, 3.673, 0.000], [0.000, 0.000, 5.627]], "species": ["Al", "Tl", "Tl", "Os"], "frac_coords": [[0.000, 0.000, 0.000], [0.500, 0.500, 0.254], [0.500, 0.500, 0.746], [0.000, 0.000, 0.500]], "relative_energy_mev_per_atom": 344, "dos_ef_per_ev_atom": 0.2791, "vol_a3_per_atom": 19.0, "formation_energy_mev_per_atom": 790, "spacegroup": "P4/mmm (123)", "total_magnetization_mub_per_fu": 0.817}

***

No. 7
{"formula": "KUCuS3", "functional": "SCAN", "state": "PBEsol geometry", "lattice_angstrom": [[1.937, -6.930, 0.000], [1.937, 6.930, 0.000], [0.000, 0.000, 10.076]], "species": ["K", "K", "U", "U", "Cu", "Cu", "S", "S", "S", "S", "S", "S"], "frac_coords": [[0.243, 0.757, 0.750], [0.757, 0.243, 0.250], [0.500, 0.500, 0.000], [0.500, 0.500, 0.500], [0.032, 0.968, 0.250], [0.968, 0.032, 0.750], [0.125, 0.875, 0.063], [0.125, 0.875, 0.437], [0.437, 0.563, 0.250], [0.563, 0.437, 0.750], [0.875, 0.125, 0.563], [0.875, 0.125, 0.937]], "e_form_raw_ev_per_fu": -8.003, "dos_ef_per_ev_atom": 0.2687, "vol_a3_per_atom": 22.5, "spacegroup": "Cmcm (63)", "total_magnetization_mub_per_fu": 2.000}

***

No. 8
{"formula": "LiGa2Ru", "functional": "SCAN", "state": "PBEsol geometry", "lattice_angstrom": [[0.000, 2.991, 2.991], [2.991, 0.000, 2.991], [2.991, 2.991, 0.000]], "species": ["Li", "Ga", "Ga", "Ru"], "frac_coords": [[0.000, 0.000, 0.000], [0.250, 0.250, 0.250], [0.750, 0.750, 0.750], [0.500, 0.500, 0.500]], "dos_ef_per_ev_atom": 0.4028, "vol_a3_per_atom": 13.4, "formation_energy_mev_per_atom": -404, "spacegroup": "Fm-3m (225)", "total_magnetization_mub_per_fu": 0.000}

***

No. 9
{"formula": "ReW3", "functional": "SCAN", "state": "PBEsol geometry", "lattice_angstrom": [[0.000, 3.135, 3.135], [3.135, 0.000, 3.135], [3.135, 3.135, 0.000]], "species": ["Re", "W", "W", "W"], "frac_coords": [[0.000, 0.000, 0.000], [0.250, 0.250, 0.250], [0.500, 0.500, 0.500], [0.750, 0.750, 0.750]], "relative_energy_mev_per_atom": 6, "dos_ef_per_ev_atom": 0.6093, "vol_a3_per_atom": 15.4, "formation_energy_mev_per_atom": 15, "spacegroup": "Fm-3m (225)", "total_magnetization_mub_per_fu": 0.000}

***

No. 10
{"formula": "Tl2CdBr", "functional": "SCAN", "state": "PBEsol geometry", "lattice_angstrom": [[3.976, 0.000, 0.000], [0.000, 3.976, 0.000], [0.000, 0.000, 7.031]], "species": ["Tl", "Tl", "Cd", "Br"], "frac_coords": [[0.000, 0.000, 0.245], [0.000, 0.000, 0.755], [0.500, 0.500, 0.000], [0.500, 0.500, 0.500]], "relative_energy_mev_per_atom": 12, "e_form_raw_ev_per_fu": -1.005, "dos_ef_per_ev_atom": 0.3576, "vol_a3_per_atom": 27.8, "spacegroup": "P4/mmm (123)", "total_magnetization_mub_per_fu": 0.000}

***

No. 11
{"formula": "LiCd2Pb", "functional": "SCAN", "state": "PBEsol geometry", "lattice_angstrom": [[-2.182, 2.182, 4.594], [2.182, -2.182, 4.594], [2.182, 2.182, -4.594]], "species": ["Li", "Cd", "Cd", "Pb"], "frac_coords": [[0.000, 0.000, 0.000], [0.250, 0.750, 0.500], [0.750, 0.250, 0.500], [0.500, 0.500, 0.000]], "dos_ef_per_ev_atom": 0.3200, "vol_a3_per_atom": 21.9, "formation_energy_mev_per_atom": -158, "spacegroup": "I4/mmm (139)", "total_magnetization_mub_per_fu": 0.000}

***

No. 12
{"formula": "YMgP", "functional": "SCAN", "state": "PBEsol geometry", "lattice_angstrom": [[-1.579, 1.773, 5.714], [1.579, -1.773, 5.714], [1.579, 1.773, -5.714]], "species": ["Y", "Mg", "P"], "frac_coords": [[0.000, 0.000, 0.000], [0.275, 0.275, 0.000], [0.640, 0.640, 0.000]], "relative_energy_mev_per_atom": 0, "dos_ef_per_ev_atom": 0.3096, "vol_a3_per_atom": 21.3, "formation_energy_mev_per_atom": -571, "spacegroup": "Imm2 (44)", "total_magnetization_mub_per_fu": 0.000}

***

No. 13
{"formula": "BaNaAlF6", "functional": "SCAN", "state": "PBEsol geometry", "lattice_angstrom": [[18.580, 0.000, 0.000], [0.000, 5.415, 0.000], [0.000, 0.000, 9.878]], "species": ["Ba", "Ba", "Ba", "Ba", "Ba", "Ba", "Ba", "Ba", "Na", "Na", "Na", "Na", "Na", "Na", "Na", "Na", "Al", "Al", "Al", "Al", "Al", "Al", "Al", "Al", "F", "F", "F", "F", "F", "F", "F", "F", "F", "F", "F", "F", "F", "F", "F", "F", "F", "F", "F", "F", "F", "F", "F", "F", "F", "F", "F", "F", "F", "F", "F", "F", "F", "F", "F", "F", "F", "F", "F", "F", "F", "F", "F", "F", "F", "F", "F", "F"], "frac_coords": [[0.110, 0.239, 0.000], [0.139, 0.735, 0.632], [0.361, 0.235, 0.132], [0.390, 0.739, 0.500], [0.610, 0.261, 0.000], [0.639, 0.765, 0.632], [0.861, 0.265, 0.132], [0.890, 0.761, 0.500], [0.066, 0.735, 0.265], [0.186, 0.243, 0.366], [0.314, 0.743, 0.866], [0.434, 0.235, 0.765], [0.566, 0.765, 0.265], [0.686, 0.257, 0.366], [0.814, 0.757, 0.866], [0.934, 0.265, 0.765], [0.007, 0.229, 0.391], [0.244, 0.753, 0.240], [0.256, 0.253, 0.740], [0.493, 0.729, 0.891], [0.507, 0.271, 0.391], [0.744, 0.747, 0.240], [0.756, 0.247, 0.740], [0.993, 0.771, 0.891], [0.032, 0.512, 0.799], [0.037, 0.951, 0.478], [0.055, 0.714, 0.029], [0.058, 0.970, 0.804], [0.070, 0.163, 0.253], [0.076, 0.428, 0.458], [0.177, 0.548, 0.172], [0.181, 0.812, 0.378], [0.193, 0.203, 0.602], [0.193, 0.460, 0.826], [0.212, 0.027, 0.152], [0.216, 0.998, 0.832], [0.284, 0.498, 0.332], [0.288, 0.527, 0.652], [0.307, 0.703, 0.102], [0.307, 0.960, 0.326], [0.319, 0.312, 0.878], [0.323, 0.048, 0.672], [0.424, 0.928, 0.958], [0.430, 0.663, 0.753], [0.442, 0.470, 0.304], [0.445, 0.214, 0.529], [0.463, 0.451, 0.978], [0.468, 0.012, 0.299], [0.532, 0.988, 0.799], [0.537, 0.549, 0.478], [0.555, 0.786, 0.029], [0.558, 0.530, 0.804], [0.570, 0.337, 0.253], [0.576, 0.072, 0.458], [0.677, 0.952, 0.172], [0.681, 0.688, 0.378], [0.693, 0.040, 0.826], [0.693, 0.297, 0.602], [0.712, 0.473, 0.152], [0.716, 0.502, 0.832], [0.784, 0.002, 0.332], [0.788, 0.973, 0.652], [0.807, 0.540, 0.326], [0.807, 0.797, 0.102], [0.819, 0.188, 0.878], [0.823, 0.452, 0.672], [0.924, 0.572, 0.958], [0.930, 0.837, 0.753], [0.942, 0.030, 0.304], [0.945, 0.286, 0.529], [0.963, 0.049, 0.978], [0.968, 0.488, 0.299]], "e_form_raw_ev_per_fu": -34.172, "dos_ef_per_ev_atom": 0.0000, "vol_a3_per_atom": 13.8, "spacegroup": "Pna2_1 (33)", "total_magnetization_mub_per_fu": 0.000}

***

No. 14
{"formula": "SrCa3Cu", "functional": "SCAN", "state": "PBEsol geometry", "lattice_angstrom": [[5.681, 0.000, 0.000], [0.000, 5.681, 0.000], [0.000, 0.000, 5.681]], "species": ["Sr", "Ca", "Ca", "Ca", "Cu"], "frac_coords": [[0.000, 0.000, 0.000], [0.000, 0.500, 0.500], [0.500, 0.000, 0.500], [0.500, 0.500, 0.000], [0.500, 0.500, 0.500]], "dos_ef_per_ev_atom": 0.6991, "vol_a3_per_atom": 36.7, "formation_energy_mev_per_atom": -21, "spacegroup": "Pm-3m (221)", "total_magnetization_mub_per_fu": 0.234}

***

No. 15
{"formula": "Li2YAl", "functional": "SCAN", "state": "PBEsol geometry", "lattice_angstrom": [[4.972, -1.745, 0.000], [4.972, 1.745, 0.000], [-1.498, 0.000, 4.846]], "species": ["Li", "Li", "Y", "Al"], "frac_coords": [[0.229, 0.229, 0.200], [0.771, 0.771, 0.800], [0.000, 0.000, 0.500], [0.500, 0.500, 0.000]], "dos_ef_per_ev_atom": 0.4478, "vol_a3_per_atom": 21.0, "formation_energy_mev_per_atom": -83, "spacegroup": "C2/m (12)", "total_magnetization_mub_per_fu": 0.021}

***

No. 16
{"formula": "LiPtSe2", "functional": "SCAN", "state": "PBEsol geometry", "lattice_angstrom": [[0.000, 3.214, 3.214], [3.214, 0.000, 3.214], [3.214, 3.214, 0.000]], "species": ["Li", "Pt", "Se", "Se"], "frac_coords": [[0.000, 0.000, 0.000], [0.750, 0.750, 0.750], [0.250, 0.250, 0.250], [0.500, 0.500, 0.500]], "e_form_raw_ev_per_fu": 0.734, "dos_ef_per_ev_atom": 0.8845, "vol_a3_per_atom": 16.6, "spacegroup": "F-43m (216)", "total_magnetization_mub_per_fu": 0.000}

***

No. 17
{"formula": "Zr2ScCd", "functional": "SCAN", "state": "PBEsol geometry", "lattice_angstrom": [[3.189, 0.000, 0.000], [0.000, 4.199, 0.000], [0.000, 0.000, 6.433]], "species": ["Zr", "Zr", "Sc", "Cd"], "frac_coords": [[0.000, 0.000, 0.000], [0.500, 0.500, 0.233], [0.500, 0.500, 0.739], [0.000, 0.000, 0.496]], "relative_energy_mev_per_atom": 43, "dos_ef_per_ev_atom": 0.9857, "vol_a3_per_atom": 21.5, "formation_energy_mev_per_atom": -105, "spacegroup": "Pmm2 (25)", "total_magnetization_mub_per_fu": 0.000}

***

No. 18
{"formula": "Os2RuRh", "functional": "SCAN", "state": "PBEsol geometry", "lattice_angstrom": [[0.000, 3.040, 3.040], [3.040, 0.000, 3.040], [3.040, 3.040, 0.000]], "species": ["Os", "Os", "Ru", "Rh"], "frac_coords": [[0.000, 0.000, 0.000], [0.250, 0.250, 0.250], [0.500, 0.500, 0.500], [0.750, 0.750, 0.750]], "relative_energy_mev_per_atom": 564, "dos_ef_per_ev_atom": 0.8521, "vol_a3_per_atom": 14.0, "formation_energy_mev_per_atom": 659, "spacegroup": "F-43m (216)", "total_magnetization_mub_per_fu": 0.346}

***

No. 19
{"formula": "LaAl3Rh", "functional": "SCAN", "state": "PBEsol geometry", "lattice_angstrom": [[4.692, 0.000, 0.000], [0.000, 4.692, 0.000], [0.000, 0.000, 4.692]], "species": ["La", "Al", "Al", "Al", "Rh"], "frac_coords": [[0.000, 0.000, 0.000], [0.000, 0.500, 0.500], [0.500, 0.000, 0.500], [0.500, 0.500, 0.000], [0.500, 0.500, 0.500]], "dos_ef_per_ev_atom": 0.6023, "vol_a3_per_atom": 20.7, "formation_energy_mev_per_atom": -691, "spacegroup": "Pm-3m (221)", "total_magnetization_mub_per_fu": 0.000}

***

No. 20
{"formula": "BaTl2Ag", "functional": "SCAN", "state": "PBEsol geometry", "lattice_angstrom": [[4.164, -2.401, 0.000], [4.164, 2.401, 0.000], [-2.764, 0.000, 6.045]], "species": ["Ba", "Tl", "Tl", "Ag"], "frac_coords": [[0.000, 0.000, 0.000], [0.216, 0.216, 0.648], [0.784, 0.784, 0.352], [0.500, 0.500, 0.500]], "relative_energy_mev_per_atom": 0, "dos_ef_per_ev_atom": 0.5873, "vol_a3_per_atom": 30.2, "formation_energy_mev_per_atom": -328, "spacegroup": "C2/m (12)", "total_magnetization_mub_per_fu": 0.000}